# Ho3Th5Se8

A relaxed Ho3Th5Se8 crystal (PBE, Alexandria).

abc: 8.1023 8.1023 21.3382
angles: 90.00 90.00 120.00
Space group R-3m (No. 166, hexagonal axes)
Symmetry-distinct sites (fractional):
Ho 0.0000 0.5000 0.0000 x9
Th 0.0000 0.0000 0.0000 x3
Th 0.0000 0.0000 0.5000 x3
Th 0.0000 0.5000 0.5000 x9
Se 0.0000 0.0000 0.2559 x6
Se 0.0079 0.5039 0.2543 x18

Output
M_tot ... 0.00 μB per formula unit
E_form (uncorrected) ... -1602 meV per atom



# Zr2ReHg

A relaxed Zr2ReHg crystal (PBE, Alexandria).

abc: 3.5242 3.5242 6.3797
angles: 90.00 90.00 90.00
Space group P4mm (No. 99)
Symmetry-distinct sites (fractional):
Zr 0.0000 0.0000 0.0000 x1
Zr 0.5000 0.5000 0.2770 x1
Re 0.5000 0.5000 0.7929 x1
Hg 0.0000 0.0000 0.5317 x1

Output
M_tot ... 0.00 μB per formula unit
Calculated total energy ... -7.33 eV per atom



# PdI2OF

A relaxed PdI2OF crystal (PBE, Alexandria).

abc: 5.1456 5.1456 3.7667
angles: 90.00 90.00 90.00
Space group P4/mmm (No. 123)
Symmetry-distinct sites (fractional):
Pd 0.0000 0.0000 0.0000 x1
I 0.0000 0.5000 0.5000 x2
O 0.5000 0.5000 0.0000 x1
F 0.5000 0.5000 0.5000 x1

Output
M_tot ... 0.44 μB per formula unit
E_form (uncorrected) ... 736 meV per atom
Polymorph energy (0 for the lowest one) ... 664 meV/atom



# Sr3Si

A relaxed Sr3Si crystal (PBE, Alexandria).

abc: 11.7903 11.7903 3.7803
angles: 90.00 90.00 120.00
Space group R-3m (No. 166, hexagonal axes)
Symmetry-distinct sites (fractional):
Sr 0.0000 0.5000 0.0000 x9
Si 0.0000 0.0000 0.0000 x3

Output
M_tot ... 0.00 μB per formula unit
E_form (uncorrected) ... 261 meV per atom
Polymorph energy (0 for the lowest one) ... 437 meV/atom



Question: Look up the M_tot of the third one.
Answer: 0.44 μB per formula unit



What did the third record say?
# PdI2OF

A relaxed PdI2OF crystal (PBE, Alexandria).

abc: 5.1456 5.1456 3.7667
angles: 90.00 90.00 90.00
Space group P4/mmm (No. 123)
Symmetry-distinct sites (fractional):
Pd 0.0000 0.0000 0.0000 x1
I 0.0000 0.5000 0.5000 x2
O 0.5000 0.5000 0.0000 x1
F 0.5000 0.5000 0.5000 x1

Output
M_tot ... 0.44 μB per formula unit
E_form (uncorrected) ... 736 meV per atom
Polymorph energy (0 for the lowest one) ... 664 meV/atom